Ni2GeBr2: optimized geometry, GGA-PBE.

Values from the calculation:
Magnetization (μB per formula unit): 0.000
Crystal system: tetragonal
Symmetry: P4/mbm (127)
Energy above the most stable polymorph in this dataset (eV per atom): 0.214
Energy relative to the elements, uncorrected (eV per formula unit): 2.95

```
10
Lattice="7.559 0.000 0.000 0.000 7.559 0.000 0.000 0.000 3.147" Properties=species:S:1:pos:R:3 pbc="T T T"
Ni 1.009 2.770 0.000
Ni 2.770 6.550 0.000
Ni 4.788 1.009 0.000
Ni 6.550 4.788 0.000
Ge 0.000 0.000 1.574
Ge 3.779 3.779 1.574
Br 1.240 5.020 1.574
Br 2.539 1.240 1.574
Br 5.020 6.319 1.574
Br 6.319 2.539 1.574
```